# SiAgHg2, relaxed, DFT PBE-GGA
data_SiAgHg2
_cell_length_a 2.9568
_cell_length_b 5.6110
_cell_length_c 10.2183
_cell_angle_alpha 90.00
_cell_angle_beta 90.00
_cell_angle_gamma 90.00
_space_group_name_H-M_alt 'I m m m'
_space_group_IT_number 71
_space_group_name_Hall '-I 2 2'
loop_
_atom_site_label
_atom_site_type_symbol
_atom_site_fract_x
_atom_site_fract_y
_atom_site_fract_z
Si1 Si 0.0000 0.0000 0.0000
Ag1 Ag 0.0000 0.0000 0.5000
Hg1 Hg 0.0000 0.5000 0.2511
# DOS at the Fermi energy: 2.94 states/eV per cell
# mass density: 10.5 Mg/m³
# final energy: -7.36 eV/f.u.
# energy relative to the elements, uncorrected: 36.6 kJ per mole of atoms

---

# Dy2Ho2Co, relaxed, DFT PBE-GGA
data_Dy2Ho2Co
_cell_length_a 7.3464
_cell_length_b 11.4790
_cell_length_c 7.0882
_cell_angle_alpha 90.00
_cell_angle_beta 113.72
_cell_angle_gamma 90.00
_space_group_name_H-M_alt 'C 1 2/m 1'
_space_group_IT_number 12
loop_
_space_group_symop_operation_xyz
'x,y,z'
'-x,-y,-z'
'-x,y,-z'
'x,-y,z'
'x+1/2,y+1/2,z'
'-x+1/2,-y+1/2,-z'
'-x+1/2,y+1/2,-z'
'x+1/2,-y+1/2,z'
loop_
_atom_site_label
_atom_site_type_symbol
_atom_site_fract_x
_atom_site_fract_y
_atom_site_fract_z
Dy1 Dy 0.0438 0.2266 0.2570
Ho1 Ho 0.2262 0.5000 0.8910
Ho2 Ho 0.2429 0.0000 0.5965
Co1 Co 0.0000 0.3804 0.5000
# DOS at the Fermi energy: 23.83 states/eV per cell
# mass density: 8.7 Mg/m³
# final energy: -25.85 eV/f.u.
# energy of formation from the pure elements: -0.4 eV per formula unit

---

# ErScInRh, relaxed, DFT PBE-GGA
data_ErScInRh
_cell_length_a 3.4097
_cell_length_b 3.4097
_cell_length_c 7.3163
_cell_angle_alpha 90.00
_cell_angle_beta 90.00
_cell_angle_gamma 90.00
_space_group_name_H-M_alt 'P 4 m m'
_space_group_IT_number 99
loop_
_space_group_symop_operation_xyz
'x,y,z'
'-y,x,z'
'-x,-y,z'
'y,-x,z'
'-x,y,z'
'y,x,z'
'x,-y,z'
'-y,-x,z'
loop_
_atom_site_label
_atom_site_type_symbol
_atom_site_fract_x
_atom_site_fract_y
_atom_site_fract_z
Er1 Er 0.0000 0.0000 0.0000
Sc1 Sc 0.0000 0.0000 0.5674
In1 In 0.5000 0.5000 0.3027
Rh1 Rh 0.5000 0.5000 0.7620
# DOS at the Fermi energy: 1.74 states/eV per cell
# mass density: 8.4 Mg/m³
# final energy: -23.84 eV/f.u.
# energy of formation from the pure elements: -2.9 eV per formula unit
# relative energy among the computed polymorphs: 0.00 eV/f.u.

---

# CsUTiO6, relaxed, DFT PBE-GGA
data_CsUTiO6
_cell_length_a 7.3516
_cell_length_b 7.9485
_cell_length_c 10.6233
_cell_angle_alpha 90.00
_cell_angle_beta 90.00
_cell_angle_gamma 90.00
_space_group_name_H-M_alt 'I m m a'
_space_group_IT_number 74
_space_group_name_Hall '-I 2b 2'
loop_
_atom_site_label
_atom_site_type_symbol
_atom_site_fract_x
_atom_site_fract_y
_atom_site_fract_z
Cs1 Cs 0.0000 0.2500 0.1100
U1 U 0.0000 0.0000 0.5000
Ti1 Ti 0.2500 0.2500 0.7500
O1 O 0.0000 0.2500 0.4242
O2 O 0.0000 0.2500 0.7996
O3 O 0.1967 0.0723 0.6230
# DOS at the Fermi energy: 24.27 states/eV per cell
# mass density: 5.5 Mg/m³
# final energy: -73.65 eV/f.u.
# energy relative to the elements, uncorrected: -255.8 kJ per mole of atoms

---

# ScTcAg2, relaxed, DFT PBE-GGA
data_ScTcAg2
_cell_length_a 3.5674
_cell_length_b 3.5674
_cell_length_c 5.6100
_cell_angle_alpha 90.00
_cell_angle_beta 90.00
_cell_angle_gamma 90.00
_space_group_name_H-M_alt 'P 4/m m m'
_space_group_IT_number 123
_space_group_name_Hall '-P 4 2'
loop_
_atom_site_label
_atom_site_type_symbol
_atom_site_fract_x
_atom_site_fract_y
_atom_site_fract_z
Sc1 Sc 0.0000 0.0000 0.0000
Tc1 Tc 0.0000 0.0000 0.5000
Ag1 Ag 0.5000 0.5000 0.2576
# DOS at the Fermi energy: 3.02 states/eV per cell
# mass density: 8.3 Mg/m³
# final energy: -21.29 eV/f.u.
# energy of formation from the pure elements: 1.1 eV per formula unit
# relative energy among the computed polymorphs: 0.68 eV/f.u.

---

# Pm2Nd2Th3, relaxed, DFT PBE-GGA
data_Pm2Nd2Th3
_cell_length_a 3.5653
_cell_length_b 37.4261
_cell_length_c 3.5683
_cell_angle_alpha 90.00
_cell_angle_beta 90.00
_cell_angle_gamma 90.00
_space_group_name_H-M_alt 'C m m m'
_space_group_IT_number 65
_space_group_name_Hall '-C 2 2'
loop_
_atom_site_label
_atom_site_type_symbol
_atom_site_fract_x
_atom_site_fract_y
_atom_site_fract_z
Pm1 Pm 0.0000 0.1361 0.0000
Nd1 Nd 0.0000 0.2915 0.5000
Th1 Th 0.0000 0.0000 0.0000
Th2 Th 0.0000 0.4329 0.5000
# DOS at the Fermi energy: 23.40 states/eV per cell
# mass density: 8.9 Mg/m³
# final energy: -40.74 eV/f.u.
# energy of formation from the pure elements: 0.6 eV per formula unit

---

# Hf3TlHg, relaxed, DFT PBE-GGA
data_Hf3TlHg
_cell_length_a 5.2110
_cell_length_b 5.2110
_cell_length_c 5.2110
_cell_angle_alpha 90.00
_cell_angle_beta 90.00
_cell_angle_gamma 90.00
_space_group_name_H-M_alt 'P m -3 m'
_space_group_IT_number 221
_space_group_name_Hall '-P 4 2 3'
loop_
_atom_site_label
_atom_site_type_symbol
_atom_site_fract_x
_atom_site_fract_y
_atom_site_fract_z
Hf1 Hf 0.0000 0.0000 0.5000
Tl1 Tl 0.5000 0.5000 0.5000
Hg1 Hg 0.0000 0.0000 0.0000
# DOS at the Fermi energy: 4.77 states/eV per cell
# mass density: 11.0 Mg/m³
# final energy: -27.58 eV/f.u.
# energy of formation from the pure elements: 5.0 eV per formula unit
# relative energy among the computed polymorphs: 3.77 eV/f.u.

---

# CaTlZnTe2, relaxed, DFT PBE-GGA
data_CaTlZnTe2
_cell_length_a 5.9019
_cell_length_b 5.9019
_cell_length_c 5.8034
_cell_angle_alpha 90.00
_cell_angle_beta 90.00
_cell_angle_gamma 90.00
_space_group_name_H-M_alt 'P 4/m m m'
_space_group_IT_number 123
_space_group_name_Hall '-P 4 2'
loop_
_atom_site_label
_atom_site_type_symbol
_atom_site_fract_x
_atom_site_fract_y
_atom_site_fract_z
Ca1 Ca 0.0000 0.0000 0.0000
Tl1 Tl 0.5000 0.5000 0.5000
Zn1 Zn 0.0000 0.0000 0.5000
Te1 Te 0.0000 0.5000 0.0000
# DOS at the Fermi energy: 4.12 states/eV per cell
# mass density: 4.6 Mg/m³
# final energy: -12.85 eV/f.u.
# energy relative to the elements, uncorrected: -17.8 kJ per mole of atoms

---

# La2BeZnH, relaxed, DFT PBE-GGA
data_La2BeZnH
_cell_length_a 5.1861
_cell_length_b 5.1861
_cell_length_c 3.7028
_cell_angle_alpha 90.00
_cell_angle_beta 90.00
_cell_angle_gamma 90.00
_space_group_name_H-M_alt 'P 4/m m m'
_space_group_IT_number 123
_space_group_name_Hall '-P 4 2'
loop_
_atom_site_label
_atom_site_type_symbol
_atom_site_fract_x
_atom_site_fract_y
_atom_site_fract_z
La1 La 0.0000 0.5000 0.0000
Be1 Be 0.0000 0.0000 0.5000
Zn1 Zn 0.5000 0.5000 0.5000
H1 H 0.0000 0.0000 0.0000
# DOS at the Fermi energy: 3.94 states/eV per cell
# mass density: 5.9 Mg/m³
# final energy: -18.99 eV/f.u.

---

# CoBiPb2, relaxed, DFT PBE-GGA
data_CoBiPb2
_cell_length_a 5.6808
_cell_length_b 5.6808
_cell_length_c 15.9294
_cell_angle_alpha 90.00
_cell_angle_beta 90.00
_cell_angle_gamma 90.00
_space_group_name_H-M_alt 'I -4 2 d'
_space_group_IT_number 122
_space_group_name_Hall 'I -4 2bw'
loop_
_atom_site_label
_atom_site_type_symbol
_atom_site_fract_x
_atom_site_fract_y
_atom_site_fract_z
Co1 Co 0.0000 0.0000 0.0000
Bi1 Bi 0.0000 0.0000 0.5000
Pb1 Pb 0.1561 0.2500 0.1250
# DOS at the Fermi energy: 17.93 states/eV per cell
# mass density: 8.8 Mg/m³
# final energy: -16.25 eV/f.u.
# energy of formation from the pure elements: 2.1 eV per formula unit

---

# ReHgP2Pd, relaxed, DFT PBE-GGA
data_ReHgP2Pd
_cell_length_a 4.5033
_cell_length_b 4.5033
_cell_length_c 5.3881
_cell_angle_alpha 90.00
_cell_angle_beta 90.00
_cell_angle_gamma 90.00
_space_group_name_H-M_alt 'P 4/m m m'
_space_group_IT_number 123
_space_group_name_Hall '-P 4 2'
loop_
_atom_site_label
_atom_site_type_symbol
_atom_site_fract_x
_atom_site_fract_y
_atom_site_fract_z
Re1 Re 0.0000 0.0000 0.0000
Hg1 Hg 0.0000 0.0000 0.5000
P1 P 0.0000 0.5000 0.0000
Pd1 Pd 0.5000 0.5000 0.5000
# DOS at the Fermi energy: 2.17 states/eV per cell
# mass density: 8.4 Mg/m³
# final energy: -25.87 eV/f.u.
# energy of formation from the pure elements: 2.9 eV per formula unit

---

# Y2B2Ru2C, relaxed, DFT PBE-GGA
data_Y2B2Ru2C
_cell_length_a 10.8325
_cell_length_b 3.6739
_cell_length_c 6.6149
_cell_angle_alpha 90.00
_cell_angle_beta 126.83
_cell_angle_gamma 90.00
_space_group_name_H-M_alt 'C 1 2/m 1'
_space_group_IT_number 12
loop_
_space_group_symop_operation_xyz
'x,y,z'
'-x,-y,-z'
'-x,y,-z'
'x,-y,z'
'x+1/2,y+1/2,z'
'-x+1/2,-y+1/2,-z'
'-x+1/2,y+1/2,-z'
'x+1/2,-y+1/2,z'
loop_
_atom_site_label
_atom_site_type_symbol
_atom_site_fract_x
_atom_site_fract_y
_atom_site_fract_z
Y1 Y 0.0640 0.0000 0.3188
B1 B 0.1827 0.5000 0.7450
Ru1 Ru 0.2060 0.5000 0.1032
C1 C 0.0000 0.5000 0.0000
# DOS at the Fermi energy: 6.11 states/eV per cell
# mass density: 6.5 Mg/m³
# final energy: -57.40 eV/f.u.
# energy of formation from the pure elements: -3.3 eV per formula unit

---

# TaCo2Ru, relaxed, DFT PBE-GGA
data_TaCo2Ru
_cell_length_a 8.6632
_cell_length_b 2.7307
_cell_length_c 4.5641
_cell_angle_alpha 90.00
_cell_angle_beta 100.52
_cell_angle_gamma 90.00
_space_group_name_H-M_alt 'C 1 m 1'
_space_group_IT_number 8
loop_
_space_group_symop_operation_xyz
'x,y,z'
'x,-y,z'
'x+1/2,y+1/2,z'
'x+1/2,-y+1/2,z'
loop_
_atom_site_label
_atom_site_type_symbol
_atom_site_fract_x
_atom_site_fract_y
_atom_site_fract_z
Ta1 Ta 0.0000 0.0000 0.0000
Co1 Co 0.2516 0.5000 0.2435
Co2 Co 0.4941 0.0000 0.4886
Ru1 Ru 0.2376 0.0000 0.6952
# DOS at the Fermi energy: 9.39 states/eV per cell
# mass density: 12.5 Mg/m³
# final energy: -35.39 eV/f.u.
# energy of formation from the pure elements: -0.1 eV per formula unit
# relative energy among the computed polymorphs: 0.81 eV/f.u.

---

# PtS3O, relaxed, DFT PBE-GGA
data_PtS3O
_cell_length_a 4.1943
_cell_length_b 4.1943
_cell_length_c 4.1943
_cell_angle_alpha 90.00
_cell_angle_beta 90.00
_cell_angle_gamma 90.00
_space_group_name_H-M_alt 'P m -3 m'
_space_group_IT_number 221
_space_group_name_Hall '-P 4 2 3'
loop_
_atom_site_label
_atom_site_type_symbol
_atom_site_fract_x
_atom_site_fract_y
_atom_site_fract_z
Pt1 Pt 0.0000 0.0000 0.0000
S1 S 0.0000 0.5000 0.5000
O1 O 0.5000 0.5000 0.5000
# DOS at the Fermi energy: 6.14 states/eV per cell
# mass density: 6.9 Mg/m³
# final energy: -17.84 eV/f.u.
# energy relative to the elements, uncorrected: 107.0 kJ per mole of atoms
# relative energy among the computed polymorphs: 0.00 eV/f.u.

---

# LiPa2Ni9, relaxed, DFT PBE-GGA
data_LiPa2Ni9
_cell_length_a 4.8783
_cell_length_b 4.8783
_cell_length_c 24.2309
_cell_angle_alpha 90.00
_cell_angle_beta 90.00
_cell_angle_gamma 120.00
_space_group_name_H-M_alt 'R -3 m'
_space_group_IT_number 166
_space_group_name_Hall '-R 3 2"'
loop_
_atom_site_label
_atom_site_type_symbol
_atom_site_fract_x
_atom_site_fract_y
_atom_site_fract_z
Li1 Li 0.0000 0.0000 0.0000
Pa1 Pa 0.0000 0.0000 0.1343
Ni1 Ni 0.0000 0.0000 0.3329
Ni2 Ni 0.0000 0.0000 0.5000
Ni3 Ni 0.0022 0.5011 0.9173
# DOS at the Fermi energy: 48.58 states/eV per cell
# mass density: 9.9 Mg/m³
# final energy: -75.78 eV/f.u.
# energy of formation from the pure elements: -2.8 eV per formula unit
# relative energy among the computed polymorphs: 0.77 eV/f.u.

---

# Li2Mg2Ag2Pb, relaxed, DFT PBE-GGA
data_Li2Mg2Ag2Pb
_cell_length_a 8.2398
_cell_length_b 4.6707
_cell_length_c 7.3747
_cell_angle_alpha 90.00
_cell_angle_beta 110.24
_cell_angle_gamma 90.00
_space_group_name_H-M_alt 'C 1 2/m 1'
_space_group_IT_number 12
loop_
_space_group_symop_operation_xyz
'x,y,z'
'-x,-y,-z'
'-x,y,-z'
'x,-y,z'
'x+1/2,y+1/2,z'
'-x+1/2,-y+1/2,-z'
'-x+1/2,y+1/2,-z'
'x+1/2,-y+1/2,z'
loop_
_atom_site_label
_atom_site_type_symbol
_atom_site_fract_x
_atom_site_fract_y
_atom_site_fract_z
Li1 Li 0.2161 0.0000 0.1524
Mg1 Mg 0.0722 0.0000 0.7100
Ag1 Ag 0.1468 0.5000 0.4420
Pb1 Pb 0.0000 0.5000 0.0000
# DOS at the Fermi energy: 3.39 states/eV per cell
# mass density: 6.1 Mg/m³
# final energy: -17.84 eV/f.u.
# energy of formation from the pure elements: -1.4 eV per formula unit

---

# Er2Pt4Au, relaxed, DFT PBE-GGA
data_Er2Pt4Au
_cell_length_a 3.9741
_cell_length_b 3.9741
_cell_length_c 18.2609
_cell_angle_alpha 90.00
_cell_angle_beta 90.00
_cell_angle_gamma 90.00
_space_group_name_H-M_alt 'I 4/m m m'
_space_group_IT_number 139
_space_group_name_Hall '-I 4 2'
loop_
_atom_site_label
_atom_site_type_symbol
_atom_site_fract_x
_atom_site_fract_y
_atom_site_fract_z
Er1 Er 0.0000 0.0000 0.1168
Pt1 Pt 0.0000 0.0000 0.3561
Pt2 Pt 0.0000 0.5000 0.2500
Au1 Au 0.0000 0.0000 0.5000
# DOS at the Fermi energy: 3.91 states/eV per cell
# mass density: 15.1 Mg/m³
# final energy: -42.78 eV/f.u.
# energy of formation from the pure elements: -6.2 eV per formula unit
# relative energy among the computed polymorphs: 0.00 eV/f.u.

---

# PmCdAgAs, relaxed, DFT PBE-GGA
data_PmCdAgAs
_cell_length_a 7.1487
_cell_length_b 7.1487
_cell_length_c 7.1487
_cell_angle_alpha 90.00
_cell_angle_beta 90.00
_cell_angle_gamma 90.00
_space_group_name_H-M_alt 'F -4 3 m'
_space_group_IT_number 216
_space_group_name_Hall 'F -4 2 3'
loop_
_atom_site_label
_atom_site_type_symbol
_atom_site_fract_x
_atom_site_fract_y
_atom_site_fract_z
Pm1 Pm 0.0000 0.0000 0.0000
Cd1 Cd 0.0000 0.0000 0.5000
Ag1 Ag 0.2500 0.2500 0.2500
As1 As 0.2500 0.2500 0.7500
# DOS at the Fermi energy: 8.13 states/eV per cell
# mass density: 8.0 Mg/m³
# final energy: -14.65 eV/f.u.
# energy of formation from the pure elements: -1.5 eV per formula unit

---

# PaZn2Ag, relaxed, DFT PBE-GGA
data_PaZn2Ag
_cell_length_a 2.8737
_cell_length_b 2.9122
_cell_length_c 9.3257
_cell_angle_alpha 90.00
_cell_angle_beta 90.00
_cell_angle_gamma 90.00
_space_group_name_H-M_alt 'P m m m'
_space_group_IT_number 47
loop_
_space_group_symop_operation_xyz
'x,y,z'
'-x,-y,-z'
'-x,-y,z'
'x,y,-z'
'x,-y,-z'
'-x,y,z'
'-x,y,-z'
'x,-y,z'
loop_
_atom_site_label
_atom_site_type_symbol
_atom_site_fract_x
_atom_site_fract_y
_atom_site_fract_z
Pa1 Pa 0.0000 0.0000 0.0000
Zn1 Zn 0.5000 0.5000 0.2542
Ag1 Ag 0.5000 0.0000 0.5000
# DOS at the Fermi energy: 4.13 states/eV per cell
# mass density: 10.0 Mg/m³
# final energy: -14.39 eV/f.u.
# energy of formation from the pure elements: 0.5 eV per formula unit
# relative energy among the computed polymorphs: 0.60 eV/f.u.

---

# BaLiLaAl, relaxed, DFT PBE-GGA
data_BaLiLaAl
_cell_length_a 8.0235
_cell_length_b 8.0235
_cell_length_c 8.0235
_cell_angle_alpha 90.00
_cell_angle_beta 90.00
_cell_angle_gamma 90.00
_space_group_name_H-M_alt 'F -4 3 m'
_space_group_IT_number 216
_space_group_name_Hall 'F -4 2 3'
loop_
_atom_site_label
_atom_site_type_symbol
_atom_site_fract_x
_atom_site_fract_y
_atom_site_fract_z
Ba1 Ba 0.0000 0.0000 0.0000
Li1 Li 0.2500 0.2500 0.2500
La1 La 0.0000 0.0000 0.5000
Al1 Al 0.2500 0.2500 0.7500
# DOS at the Fermi energy: 18.83 states/eV per cell
# mass density: 4.0 Mg/m³
# final energy: -12.58 eV/f.u.
# energy of formation from the pure elements: -0.1 eV per formula unit